1.
Here is BaTaPb2 after structural relaxation from Alexandria via LeMat-Bulk. Energies are from PBE-GGA.

Cell: 6.9554 9.9053 3.3175 Å, 90.00 90.00 90.00°
With the nearest neighbours (Å) after each atom.
Space group Cmmm (No. 65)
Asymmetric unit:
1 Ba 0.0000 0.0000 0.0000 x2  2 Ba 3.32, 8 Pb 3.45, 2 Ta 3.48
2 Ta 0.0000 0.5000 0.0000 x2  2 Ta 3.32, 8 Pb 3.45, 2 Ba 3.48
3 Pb 0.2500 0.2500 0.5000 x4  4 Pb 3.32-3.48, 4 Ba 3.45, 4 Ta 3.45

Summary:
E_form: 0.5675 eV per atom

=====

2.
Here is Pm3Ho2Tm6 after structural relaxation from Alexandria via LeMat-Bulk. Energies are from PBE-GGA.

Cell: 6.1128 7.8861 7.9229 Å, 107.45 104.76 97.23°
With the nearest neighbours (Å) after each atom.
Space group P-1 (No. 2)
Asymmetric unit:
1 Pm 0.0000 0.0000 0.0000 x1  8 Tm 3.52-3.54, 2 Ho 3.54, 2 Pm 3.55
2 Pm 0.3638 0.2733 0.4546 x2  2 Pm 3.52-3.55, 7 Tm 3.53-3.55, 3 Ho 3.53-3.55
3 Ho 0.0902 0.8171 0.3628 x2  7 Tm 3.52-3.57, 4 Pm 3.53-3.55, 1 Ho 3.54
4 Tm 0.1819 0.6359 0.7284 x2  6 Tm 3.52-3.56, 2 Ho 3.52-3.55, 4 Pm 3.53-3.54
5 Tm 0.2730 0.4549 0.0897 x2  7 Tm 3.51-3.53, 2 Ho 3.52-3.54, 3 Pm 3.54-3.55
6 Tm 0.4541 0.0927 0.8196 x2  5 Tm 3.51-3.55, 4 Pm 3.52-3.55, 3 Ho 3.53-3.57

Summary:
Offset from the most stable computed form: 0.0 meV/atom
E_form: 0.0217 eV per atom

=====

3.
Here is Cr5C after structural relaxation from Alexandria via LeMat-Bulk. Energies are from PBE-GGA.

Cell: 4.3221 4.3221 3.9214 Å, 90.00 90.00 120.00°
With the nearest neighbours (Å) after each atom.
Space group P-62m (No. 189)
Asymmetric unit:
1 Cr 0.0000 0.6909 0.0000 x3  10 Cr 2.31-2.59, 2 C 2.37
2 Cr 0.3333 0.6667 0.5000 x2  9 Cr 2.47-2.50, 3 C 2.50
3 C 0.0000 0.0000 0.5000 x1  12 Cr 2.37-2.50

Summary:
Offset from the most stable computed form: 500.9 meV/atom
E_form: 0.6384 eV per atom

=====

4.
Here is Nd5UP6 after structural relaxation from Alexandria via LeMat-Bulk. Energies are from PBE-GGA.

Cell: 7.1371 12.3634 7.1303 Å, 90.00 109.49 90.00°
With the nearest neighbours (Å) after each atom.
Space group C2/m (No. 12)
Asymmetric unit:
1 Nd 0.0000 0.0000 0.0000 x2  6 P 2.91-3.04
2 Nd 0.0000 0.1660 0.5000 x4  6 P 2.92-2.93
3 Nd 0.0000 0.3304 0.0000 x4  6 P 2.91-3.01
4 U 0.0000 0.5000 0.5000 x2  6 P 2.79
5 P 0.2373 0.5000 0.2590 x4  1 U 2.79, 5 Nd 2.92-3.04
6 P 0.2397 0.3406 0.7414 x8  1 U 2.79, 5 Nd 2.91-3.01

Summary:
E_form: -1.4470 eV per atom

=====

5.
Here is DyGe2Ir after structural relaxation from Alexandria via LeMat-Bulk. Energies are from PBE-GGA.

Cell: 4.2175 4.2175 14.6643 Å, 90.00 90.00 120.00°
With the nearest neighbours (Å) after each atom.
Space group R-3m (No. 166, hexagonal axes)
Asymmetric unit:
1 Dy 0.0000 0.0000 0.0000 x3  8 Ge 2.94-3.25
2 Ge 0.0000 0.0000 0.2215 x6  3 Ir 2.56
3 Ir 0.0000 0.0000 0.5000 x3  6 Ge 2.56

Summary:
E_form: -0.6973 eV per atom

=====

6.
Here is VNi2PtN after structural relaxation from Alexandria via LeMat-Bulk. Energies are from PBE-GGA.

Cell: 3.8354 3.8354 3.8732 Å, 90.00 90.00 90.00°
With the nearest neighbours (Å) after each atom.
Space group P4/mmm (No. 123)
Asymmetric unit:
1 V 0.0000 0.0000 0.0000 x1  2 N 1.94
2 Ni 0.0000 0.5000 0.5000 x2  2 N 1.92
3 Pt 0.5000 0.5000 0.0000 x1  4 V 2.71, 8 Ni 2.73
4 N 0.0000 0.0000 0.5000 x1  4 Ni 1.92, 2 V 1.94

Summary:
E_form (uncorrected): -0.319 eV/atom

=====

Result set for VASP energy: -4.731, -4.545, -8.918, -7.079, -6.372, -7.329 eV per atom, one per record in the order listed.
Result set for mass density: 10.6, 8.6, 7.1, 6.4, 11.0, 11.0 g/cm3, one per record in the order listed.
Result set for D(E_F): 0.74, 1.35, 1.61, 0.68, 0.43, 0.98 states/eV per atom, one per record in the order listed.